First-principles (GGA-PBE) data for a relaxed structure of TlRe2Ru, as listed in Alexandria.

a b c (Å): 9.632 2.898 4.802
angles (deg): 90.00 101.42 90.00
Space group C2/m (No. 12)
Unique sites:
Tl 0.000 0.000 0.000 [2 per cell]
Re 0.234 0.000 0.719 [4 per cell]
Ru 0.000 0.500 0.500 [2 per cell]

* crystal system: monoclinic
* ΔE to the lowest computed polymorph: 165 meV/atom
* N(E_F): 7.99 states/eV per cell
* raw total energy: -8.506 eV/atom